(1)
! La2AgRuC (PBE, relaxed); values from VASP
! * final energy: -6.515 eV per atom
! * mass density: 7.35 g/cm3
! * D(E_F): 2.28 states/eV per cell
! * calculated formation energy: -1.4 eV/f.u.
&SYSTEM
  ibrav = 0, nat = 5, ntyp = 4
/
ATOMIC_SPECIES
Ag 107.87 Ag.upf
C 12.01 C.upf
La 138.91 La.upf
Ru 101.07 Ru.upf
ATOMIC_POSITIONS angstrom
Ag -0.9296 -1.9488 3.6788
C 0.0000 0.0000 0.0000
La -1.6192 -2.0880 0.4336
La 1.6660 -0.8986 1.8938
Ru -0.9764 1.0378 1.3514
CELL_PARAMETERS angstrom
-3.2383 -4.1760 0.8672
3.3319 -1.7972 3.7876
-1.9528 2.0756 2.7028

***

(2)
! La2AgRuC (PBE, relaxed); values from VASP
! * final energy: -5.247 eV per atom
! * mass density: 6.64 g/cm3
! * D(E_F): 3.18 states/eV per cell
! * calculated formation energy: 5.0 eV/f.u.
&SYSTEM
  ibrav = 0, nat = 5, ntyp = 4
/
ATOMIC_SPECIES
C 12.01 C.upf
La 138.91 La.upf
Ag 107.87 Ag.upf
Ru 101.07 Ru.upf
ATOMIC_POSITIONS angstrom
C 0.6598 -1.0388 -1.4749
La 1.3626 -1.7167 1.8186
Ag 0.0000 0.0000 0.0000
Ru -0.2793 -4.4264 0.4910
La -2.3017 -1.6709 0.1472
CELL_PARAMETERS angstrom
-4.6034 -3.3418 0.2944
1.3195 -2.0776 -2.9498
2.7252 -3.4335 3.6373

***

(3)
! La8Ag2RuC (PBE, relaxed); values from VASP
! * final energy: -5.460 eV per atom
! * mass density: 6.45 g/cm3
! * D(E_F): 14.86 states/eV per cell
! * calculated formation energy: -1.9 eV/f.u.
&SYSTEM
  ibrav = 0, nat = 12, ntyp = 4
/
ATOMIC_SPECIES
La 138.91 La.upf
Ag 107.87 Ag.upf
C 12.01 C.upf
Ru 101.07 Ru.upf
ATOMIC_POSITIONS angstrom
La 2.2614 1.2693 0.1037
Ag 3.5335 3.8099 1.8401
La 4.5553 6.3032 3.6684
La 0.8684 5.5484 3.1616
La 4.2090 6.9872 7.5700
C 0.0000 0.0000 0.0000
Ru -0.5574 0.6026 3.8391
La 0.2930 6.1853 7.2025
La 1.9151 1.9532 4.0053
La 6.1774 2.0712 0.4713
Ag 2.9369 4.4466 5.8336
La 5.6020 2.7081 4.5121
CELL_PARAMETERS angstrom
7.3459 0.1792 -0.9768
0.2394 6.8720 0.9723
-1.1149 1.2052 7.6782

***

(4)
! LaSc2AgC (PBE, relaxed); values from VASP
! * final energy: -6.185 eV per atom
! * mass density: 5.30 g/cm3
! * D(E_F): 4.43 states/eV per cell
! * calculated formation energy: -1.3 eV/f.u.
&SYSTEM
  ibrav = 0, nat = 5, ntyp = 4
/
ATOMIC_SPECIES
Sc 44.96 Sc.upf
C 12.01 C.upf
La 138.91 La.upf
Ag 107.87 Ag.upf
ATOMIC_POSITIONS angstrom
Sc 0.0000 2.2666 0.0000
C 0.0000 0.0000 0.0000
La 0.0000 0.0000 2.6574
Ag 2.2666 2.2666 2.6574
Sc 2.2666 0.0000 0.0000
CELL_PARAMETERS angstrom
4.5331 0.0000 0.0000
0.0000 4.5331 0.0000
0.0000 0.0000 5.3149

***

(5)
! La2ScAgC (PBE, relaxed); values from VASP
! * final energy: -5.818 eV per atom
! * mass density: 5.85 g/cm3
! * D(E_F): 5.59 states/eV per cell
! * calculated formation energy: -0.8 eV/f.u.
&SYSTEM
  ibrav = 0, nat = 5, ntyp = 4
/
ATOMIC_SPECIES
Ag 107.87 Ag.upf
La 138.91 La.upf
C 12.01 C.upf
Sc 44.96 Sc.upf
ATOMIC_POSITIONS angstrom
Ag 0.8620 -2.7322 3.2939
La 2.2656 -0.2178 1.3642
C 0.0000 0.0000 0.0000
Sc -1.1398 0.1260 1.9130
La -0.2638 -2.6404 0.0167
CELL_PARAMETERS angstrom
-0.5277 -5.2808 0.0334
4.5313 -0.4355 2.7285
-2.2796 0.2520 3.8260

***

(6)
! La2AgSnC (PBE, relaxed); values from VASP
! * final energy: -5.408 eV per atom
! * mass density: 6.96 g/cm3
! * D(E_F): 4.17 states/eV per cell
! * calculated formation energy: -1.1 eV/f.u.
&SYSTEM
  ibrav = 0, nat = 5, ntyp = 4
/
ATOMIC_SPECIES
La 138.91 La.upf
C 12.01 C.upf
Ag 107.87 Ag.upf
Sn 118.71 Sn.upf
ATOMIC_POSITIONS angstrom
La 0.0000 2.6392 0.0000
La 2.6392 0.0000 0.0000
C 0.0000 0.0000 0.0000
Ag 0.0000 0.0000 2.2103
Sn 2.6392 2.6392 2.2103
CELL_PARAMETERS angstrom
5.2785 0.0000 0.0000
0.0000 5.2785 0.0000
0.0000 0.0000 4.4206

***

(7)
! La2TbAgC (PBE, relaxed); values from VASP
! * final energy: -5.409 eV per atom
! * mass density: 6.90 g/cm3
! * D(E_F): 5.15 states/eV per cell
! * calculated formation energy: -0.5 eV/f.u.
&SYSTEM
  ibrav = 0, nat = 5, ntyp = 4
/
ATOMIC_SPECIES
Tb 158.93 Tb.upf
La 138.91 La.upf
Ag 107.87 Ag.upf
C 12.01 C.upf
ATOMIC_POSITIONS angstrom
Tb 3.3132 -4.3571 -1.7946
La 0.7764 -5.4606 0.4840
Ag -0.2650 -3.7000 -2.4342
La 1.1007 -6.9624 -2.8752
C -0.0176 -0.0659 0.0277
CELL_PARAMETERS angstrom
-3.2467 -0.8171 -4.0101
3.8957 -2.1849 -2.7089
-1.1776 -4.3914 1.8482

***

(8)
! La2ThAgC (PBE, relaxed); values from VASP
! * final energy: -5.930 eV per atom
! * mass density: 7.63 g/cm3
! * D(E_F): 6.15 states/eV per cell
! * calculated formation energy: -0.3 eV/f.u.
&SYSTEM
  ibrav = 0, nat = 5, ntyp = 4
/
ATOMIC_SPECIES
La 138.91 La.upf
Ag 107.87 Ag.upf
C 12.01 C.upf
Th 232.04 Th.upf
ATOMIC_POSITIONS angstrom
La 2.6284 5.2567 0.0013
La 0.0000 2.6284 0.0005
Ag 2.6284 2.6287 2.4760
C 0.0000 0.0000 0.0008
Th 0.0000 5.2569 2.4798
CELL_PARAMETERS angstrom
5.2568 0.0000 0.0000
0.0000 5.2569 0.0000
0.0000 0.0002 4.9585